No. 1
B3C7: optimized geometry, PBE.

extended XYZ file:
```
10
Lattice="-1.2545 1.2545 9.9751 1.2545 -1.2545 9.9751 1.2545 1.2545 -9.9751" Properties=species:S:1:pos:R:3 pbc="T T T"
B 0.0000 0.0000 0.0000
C 0.0000 0.0000 15.8775
B 0.0000 0.0000 7.8692
C 0.0000 1.2545 6.7682
C 1.2545 0.0000 8.9115
C 0.0000 0.0000 4.0727
C 1.2545 0.0000 1.0636
C 0.0000 1.2545 3.2069
B 0.0000 0.0000 12.0810
C 1.2545 0.0000 4.9875
```

Theoretical density: 3081 kg/m3
E_tot: -8.142 eV/atom
Fermi-level density of states: 1.7 states/eV/cell
Space group: I-4m2 (119)
ΔH_f (0 K): 0.32 eV/atom

***

No. 2
B7C5: optimized geometry, PBE.

extended XYZ file:
```
12
Lattice="4.4768 0.1794 -2.1886 3.6891 2.5425 -2.1886 -0.3931 -0.1310 7.8587" Properties=species:S:1:pos:R:3 pbc="T T T"
B 1.2709 0.4236 4.7290
B 7.7184 2.5728 -0.2945
B 6.9830 2.3277 -3.4877
C 2.4958 0.8319 3.7962
C 6.5905 2.1968 0.7159
B 5.3714 1.7905 -0.3034
C -0.3576 -0.1192 7.8077
B 4.9516 1.6505 3.7756
C 1.2502 0.4167 0.7853
B 4.0553 1.3518 0.6862
B 2.4872 0.8291 -0.0506
C 3.7217 1.2406 4.6946
```

Theoretical density: 2749 kg/m3
E_tot: -7.285 eV/atom
Fermi-level density of states: 2.3 states/eV/cell
Space group: Cm (8)
ΔH_f (0 K): 0.45 eV/atom

***

No. 3
B3C7: optimized geometry, PBE.

extended XYZ file:
```
10
Lattice="-1.2397 1.2627 10.0319 1.2397 -1.2627 10.0319 1.2397 1.2627 -10.0319" Properties=species:S:1:pos:R:3 pbc="T T T"
C 0.0000 0.0000 0.0474
C 1.2397 0.0000 0.9625
C 0.0000 0.0000 3.9917
C 1.2397 0.0000 9.1633
C 1.2397 0.0000 4.8274
B 0.0000 0.0000 15.9238
C 0.0000 0.0000 8.2894
C 0.0000 0.0000 11.8599
B 0.0000 1.2627 7.2255
B 0.0000 1.2627 2.9165
```

Theoretical density: 3080 kg/m3
E_tot: -8.197 eV/atom
Fermi-level density of states: 0.8 states/eV/cell
Space group: Imm2 (44)
ΔH_f (0 K): 0.26 eV/atom

***

No. 4
B7C5: optimized geometry, PBE.

extended XYZ file:
```
12
Lattice="-0.8016 0.8701 2.4387 0.7667 -4.2652 1.7738 6.2525 1.9361 1.3645" Properties=species:S:1:pos:R:3 pbc="T T T"
C 3.9746 -1.9201 3.4979
B 3.9411 -0.0280 1.3055
C 0.0315 -1.6916 2.1203
B 2.4365 -2.3000 3.1279
B 1.4973 0.3298 0.3745
C 0.0331 -0.0333 0.0228
B 6.5779 -1.0158 2.5247
C 3.8368 1.1307 2.3641
B 5.4630 1.4804 2.7739
C 1.4313 -1.2221 2.4129
B 2.4519 -1.0969 1.1973
B 4.1421 -1.7004 1.9683
```

Theoretical density: 2657 kg/m3
E_tot: -7.382 eV/atom
Fermi-level density of states: 3.4 states/eV/cell
Space group: Pm (6)
ΔH_f (0 K): 0.36 eV/atom

***

No. 5
BC: optimized geometry, PBE.

extended XYZ file:
```
12
Lattice="-3.4658 -6.2722 0.0454 1.3550 -8.6427 0.6251 -0.2479 8.5924 1.7413" Properties=species:S:1:pos:R:3 pbc="T T T"
C -2.9720 -3.8142 1.3093
C -0.9487 -2.0778 0.3997
B 0.3718 -2.3147 1.2195
C 0.1702 0.8876 1.3819
B -1.9857 -1.0375 0.9069
C 0.6872 -5.6877 1.0003
C -1.6914 -8.9342 0.6014
C -1.2275 1.0119 2.0385
B -0.7001 -6.6266 1.6294
B -0.3521 -4.7597 1.5062
B -1.5227 -3.6014 0.6358
B -2.0987 -5.8949 2.2993
```

Theoretical density: 2614 kg/m3
E_tot: -7.601 eV/atom
Fermi-level density of states: 1.3 states/eV/cell
Space group: Cm (8)
ΔH_f (0 K): 0.35 eV/atom

***

No. 6
BC: optimized geometry, PBE.

extended XYZ file:
```
12
Lattice="-5.4949 -4.7472 0.6660 -2.7556 -4.8791 -4.0710 4.7338 3.2552 3.8687" Properties=species:S:1:pos:R:3 pbc="T T T"
B 0.5939 -1.5683 2.1060
B -1.6963 -4.0145 -0.6526
B -5.7473 -6.8905 -0.8875
C -0.0299 -0.0521 0.1262
B -2.8851 -5.4743 -0.5588
C -1.2886 -3.3520 -1.9833
B -1.4233 -1.8551 0.9740
B -3.0298 -3.7400 0.3951
C 2.1702 0.4655 1.1939
C 1.1862 -0.6950 0.8873
C -0.9643 -1.1283 -0.3721
C -5.1623 -6.0233 -2.1289
```

Theoretical density: 2801 kg/m3
E_tot: -7.575 eV/atom
Fermi-level density of states: 1.9 states/eV/cell
Space group: Cm (8)
ΔH_f (0 K): 0.38 eV/atom

***

No. 7
BC: optimized geometry, PBE.

extended XYZ file:
```
12
Lattice="-1.3351 1.6382 1.5558 2.3858 -1.6012 3.7334 4.4762 4.8282 -1.2427" Properties=species:S:1:pos:R:3 pbc="T T T"
B 0.5470 0.0931 2.5847
C 2.7858 3.7188 0.6881
C 5.8978 3.4984 1.3776
B 4.2262 4.5030 -1.1148
C 3.5317 2.3255 0.5821
B 2.6058 1.1423 1.0334
C 3.7940 4.8569 0.3549
B 4.7215 2.1742 1.7625
C 4.0634 2.2579 3.3228
C 1.5964 1.3047 2.2094
B 2.7605 -0.4095 2.8001
B 2.8746 1.2257 3.3896
```

Theoretical density: 2749 kg/m3
E_tot: -7.564 eV/atom
Fermi-level density of states: 2.0 states/eV/cell
Space group: Pm (6)
ΔH_f (0 K): 0.39 eV/atom

***

No. 8
B3C: optimized geometry, PBE.

extended XYZ file:
```
12
Lattice="1.3624 5.5382 -0.1050 -1.3624 5.5382 -0.1050 0.0000 1.1268 5.7197" Properties=species:S:1:pos:R:3 pbc="T T T"
B 0.0000 1.1748 5.6992
C 0.0000 4.6356 4.6671
B 0.0000 0.8980 2.8405
B 0.0000 1.2935 1.1583
B 0.0000 4.8154 2.9790
B 0.0000 3.6392 1.4342
C 0.0000 1.6397 4.1859
B 0.0000 7.8186 3.5682
B 0.0000 9.1985 2.4368
B 0.0000 7.7778 1.6378
B 0.0000 9.5297 4.1344
C 0.0000 4.4657 0.0616
```

Theoretical density: 2556 kg/m3
E_tot: -6.915 eV/atom
Fermi-level density of states: 1.5 states/eV/cell
Space group: Cm (8)
ΔH_f (0 K): 0.40 eV/atom

***

> Among the records above, which one has the lowest theoretical density?

B3C

***

> Look up the Fermi-level density of states of the first one.

1.7 states/eV/cell